No. 1
# CaAlFe2, optimized geometry, DFT GGA-PBE
# Magnetization (μB per formula unit): 4.287
# Final energy (eV/f.u.): -21.7
# Space group: Imm2
data_CaAlFe2
_chemical_formula_sum 'Ca1 Al1 Fe2'
_cell_length_a 5.516
_cell_length_b 5.516
_cell_length_c 5.516
_cell_angle_alpha 148.84
_cell_angle_beta 128.96
_cell_angle_gamma 61.02
_symmetry_space_group_name_H-M 'P 1'
_symmetry_Int_Tables_number 1
loop_
_symmetry_equiv_pos_as_xyz
'x,y,z'
loop_
_atom_site_label
_atom_site_fract_x
_atom_site_fract_y
_atom_site_fract_z
_atom_site_occupancy
Ca1 0.759 0.259 0.500 1
Fe1 0.041 0.041 0.000 1
Fe2 0.235 0.735 0.500 1
Al1 0.466 0.466 0.000 1



No. 2
# CaAlFe2, optimized geometry, DFT GGA-PBE
# Magnetization (μB per formula unit): 4.186
# Final energy (eV/f.u.): -20.9
# Space group: I-42d
data_CaAlFe2
_chemical_formula_sum 'Ca2 Al2 Fe4'
_cell_length_a 4.478
_cell_length_b 4.478
_cell_length_c 9.295
_cell_angle_alpha 76.06
_cell_angle_beta 76.06
_cell_angle_gamma 90.00
_symmetry_space_group_name_H-M 'P 1'
_symmetry_Int_Tables_number 1
loop_
_symmetry_equiv_pos_as_xyz
'x,y,z'
loop_
_atom_site_label
_atom_site_fract_x
_atom_site_fract_y
_atom_site_fract_z
_atom_site_occupancy
Ca1 0.000 0.000 0.000 1
Ca2 0.750 0.250 0.500 1
Fe1 0.358 0.125 0.250 1
Fe2 0.392 0.625 0.250 1
Fe3 0.375 0.642 0.750 1
Fe4 0.875 0.608 0.750 1
Al1 0.500 0.500 0.000 1
Al2 0.250 0.750 0.500 1



No. 3
# Ca2Al9Fe3, optimized geometry, DFT GGA-PBE
# Magnetization (μB per formula unit): 0.050
# Final energy (eV/f.u.): -66.9
# Space group: C2/c
data_Ca2Al9Fe3
_chemical_formula_sum 'Ca4 Al18 Fe6'
_cell_length_a 7.447
_cell_length_b 7.447
_cell_length_c 10.560
_cell_angle_alpha 89.80
_cell_angle_beta 110.51
_cell_angle_gamma 120.53
_symmetry_space_group_name_H-M 'P 1'
_symmetry_Int_Tables_number 1
loop_
_symmetry_equiv_pos_as_xyz
'x,y,z'
loop_
_atom_site_label
_atom_site_fract_x
_atom_site_fract_y
_atom_site_fract_z
_atom_site_occupancy
Ca1 0.338 0.248 0.751 1
Ca2 0.662 0.752 0.249 1
Ca3 0.997 0.587 0.749 1
Ca4 0.003 0.413 0.251 1
Al1 0.454 0.918 0.747 1
Al2 0.546 0.082 0.253 1
Al3 0.670 0.707 0.753 1
Al4 0.330 0.293 0.247 1
Al5 0.458 0.647 0.935 1
Al6 0.542 0.353 0.065 1
Al7 0.212 0.524 0.565 1
Al8 0.788 0.476 0.435 1
Al9 0.887 0.137 0.750 1
Al10 0.113 0.863 0.250 1
Al11 0.135 0.987 0.956 1
Al12 0.865 0.013 0.044 1
Al13 0.531 0.179 0.544 1
Al14 0.469 0.821 0.456 1
Al15 0.871 0.856 0.562 1
Al16 0.129 0.144 0.438 1
Al17 0.794 0.309 0.938 1
Al18 0.206 0.691 0.062 1
Fe1 0.500 0.000 0.000 1
Fe2 0.500 0.500 0.500 1
Fe3 0.842 0.171 0.499 1
Fe4 0.158 0.829 0.501 1
Fe5 0.172 0.343 0.001 1
Fe6 0.828 0.657 0.999 1